A plane-wave DFT calculation with PBE was carried out for a geometry-optimized Zr2AlTlO structure.

Cell and atoms, written as CIF:
```
data_Zr2AlTlO
_cell_length_a 4.357
_cell_length_b 4.357
_cell_length_c 5.137
_cell_angle_alpha 90.00
_cell_angle_beta 90.00
_cell_angle_gamma 90.00
_symmetry_space_group_name_H-M 'P 4/m m m'
_symmetry_Int_Tables_number 123
_symmetry_space_group_name_Hall '-P 4 2'
loop_
_atom_site_label
_atom_site_type_symbol
_atom_site_fract_x
_atom_site_fract_y
_atom_site_fract_z
Zr1 Zr 0.000 0.500 0.000
Al1 Al 0.000 0.000 0.500
Tl1 Tl 0.500 0.500 0.500
O1 O 0.500 0.500 0.000
```

Calculated values
N(E_F) (states/eV per cell): 1.91
Formation energy (no corrections) (eV per atom): -0.72
Calculated volume (Å³ per cell): 97.5
M_tot (μB per formula unit): 0.00
Total DFT energy (no corrections) (eV per cell): -31.775